1.
Below is a relaxed structure of SrErPb2, with properties calculated at the GGA-PBE level.

Cell and atoms, written as POSCAR:
```
SrErPb2
1.0
4.070 0.000 0.000
0.000 4.070 0.000
0.000 0.000 7.611
Sr Er Pb
1 1 2
Cartesian
0.000 0.000 0.000
0.000 0.000 3.806
2.035 2.035 2.137
2.035 2.035 5.474
```

Calculated values
The density is 8.8 g/cm3. The volume comes out at 126 Å³/f.u. For the total energy, the calculation gives -15.4 eV per cell. The formation energy from the elements is -442 meV/atom.

---

2.
Below is a relaxed structure of SrErZnPb, with properties calculated at the GGA-PBE level.

Cell and atoms, written as POSCAR:
```
SrErZnPb
1.0
0.000 3.846 3.846
3.846 0.000 3.846
3.846 3.846 0.000
Sr Er Zn Pb
1 1 1 1
Cartesian
0.000 0.000 0.000
3.846 3.846 3.846
5.768 5.768 5.768
1.923 1.923 1.923
```

Calculated values
The density is 7.7 g/cm3. The volume comes out at 114 Å³/f.u. For the total energy, the calculation gives -12.4 eV per cell. The formation energy from the elements is -293 meV/atom.

---

3.
Below is a relaxed structure of Tb5ErPb6, with properties calculated at the GGA-PBE level.

Cell and atoms, written as POSCAR:
```
Tb5ErPb6
1.0
3.065 -7.677 0.000
3.065 7.677 0.000
-1.846 0.000 7.550
Tb Er Pb
5 1 6
Cartesian
0.000 0.000 0.000
3.065 2.588 0.000
2.143 2.536 3.775
2.143 -2.536 3.775
3.065 -2.588 0.000
-0.923 0.000 3.775
2.593 5.132 1.908
1.692 5.132 5.641
1.649 0.000 5.680
2.637 0.000 1.869
2.593 -5.132 1.908
1.692 -5.132 5.641
```

Calculated values
The density is 10.3 g/cm3. The volume comes out at 355 Å³/f.u. For the total energy, the calculation gives -55.2 eV per cell. The formation energy from the elements is -440 meV/atom.

---

4.
Below is a relaxed structure of TbEr8Pb2, with properties calculated at the GGA-PBE level.

Cell and atoms, written as POSCAR:
```
TbEr8Pb2
1.0
8.209 -3.324 0.000
8.209 3.324 0.000
-0.370 0.000 6.211
Tb Er Pb
1 8 2
Cartesian
0.000 0.000 0.000
6.415 1.643 3.748
3.117 0.000 5.242
9.634 1.643 2.463
6.821 0.000 0.741
9.228 0.000 5.470
6.415 -1.643 3.748
12.932 0.000 0.969
9.634 -1.643 2.463
4.090 0.000 2.131
11.959 0.000 4.080
```

Calculated values
The density is 9.4 g/cm3. The volume comes out at 339 Å³/f.u. For the total energy, the calculation gives -49.3 eV per cell. The formation energy from the elements is -64 meV/atom.

---

5.
Below is a relaxed structure of TbEr2Pb3, with properties calculated at the GGA-PBE level.

Cell and atoms, written as POSCAR:
```
TbEr2Pb3
1.0
8.457 -3.190 0.000
8.457 3.190 0.000
-1.179 0.000 6.285
Tb Er Pb
2 4 6
Cartesian
7.573 2.422 4.714
8.162 -2.422 1.571
5.159 0.749 2.547
4.569 -0.749 5.689
11.166 0.749 0.596
10.577 -0.749 3.738
2.730 0.702 0.487
2.140 -0.702 3.629
8.162 0.747 1.571
7.573 -0.747 4.714
13.595 0.702 2.655
13.005 -0.702 5.798
```

Calculated values
The density is 10.9 g/cm3. The calculation puts the energy above the lowest structure with this stoichiometry at 36 meV/atom. The volume comes out at 170 Å³/f.u. For the total energy, the calculation gives -55.1 eV per cell. The formation energy from the elements is -446 meV/atom.

---

6.
Below is a relaxed structure of Tb2ErPb3, with properties calculated at the GGA-PBE level.

Cell and atoms, written as POSCAR:
```
Tb2ErPb3
1.0
8.465 -3.203 0.000
8.465 3.203 0.000
-1.205 0.000 6.289
Tb Er Pb
4 2 6
Cartesian
2.721 0.805 0.536
2.118 -0.805 3.680
13.608 0.805 2.609
13.005 -0.805 5.753
7.561 0.793 4.716
8.164 -0.793 1.572
8.164 2.410 1.572
5.157 0.801 2.626
4.554 -0.801 5.771
11.171 0.801 0.518
10.569 -0.801 3.662
7.561 -2.410 4.716
```

Calculated values
The density is 10.8 g/cm3. The calculation puts the energy above the lowest structure with this stoichiometry at 0 meV/atom. The volume comes out at 171 Å³/f.u. For the total energy, the calculation gives -55.8 eV per cell. The formation energy from the elements is -495 meV/atom.

---

7.
Below is a relaxed structure of Tb2ErPb, with properties calculated at the GGA-PBE level.

Cell and atoms, written as POSCAR:
```
Tb2ErPb
1.0
3.613 0.000 0.000
0.000 3.613 0.000
0.000 0.000 9.332
Tb Er Pb
2 1 1
Cartesian
0.000 0.000 2.208
0.000 0.000 7.123
1.806 1.806 4.666
1.806 1.806 0.000
```

Calculated values
The density is 9.4 g/cm3. The calculation puts the energy above the lowest structure with this stoichiometry at 71 meV/atom. The volume comes out at 122 Å³/f.u. For the total energy, the calculation gives -18.4 eV per cell. The formation energy from the elements is -209 meV/atom.

---

8.
Below is a relaxed structure of Tb2ErPb9, with properties calculated at the GGA-PBE level.

Cell and atoms, written as POSCAR:
```
Tb2ErPb9
1.0
4.880 0.000 0.000
0.000 4.880 0.000
0.000 0.000 14.630
Tb Er Pb
2 1 9
Cartesian
0.000 0.000 2.437
0.000 0.000 12.193
0.000 0.000 7.315
0.000 2.440 0.000
0.000 2.440 4.893
0.000 2.440 9.736
2.440 0.000 0.000
2.440 0.000 4.893
2.440 0.000 9.736
2.440 2.440 2.448
2.440 2.440 7.315
2.440 2.440 12.182
```

Calculated values
The density is 11.2 g/cm3. The volume comes out at 348 Å³/f.u. For the total energy, the calculation gives -50.5 eV per cell. The formation energy from the elements is -276 meV/atom.

---

9.
Below is a relaxed structure of TbEr7Pb2, with properties calculated at the GGA-PBE level.

Cell and atoms, written as POSCAR:
```
TbEr7Pb2
1.0
4.553 -7.750 0.000
4.553 7.750 0.000
0.000 0.000 5.389
Tb Er Pb
1 7 2
Cartesian
0.000 0.000 0.000
1.644 1.872 2.694
4.553 4.303 0.000
1.644 -1.872 2.694
4.553 0.000 2.694
7.463 1.872 2.694
4.553 -4.303 0.000
7.463 -1.872 2.694
4.553 3.012 2.694
4.553 -3.012 2.694
```

Calculated values
The density is 7.6 g/cm3. The volume comes out at 380 Å³/f.u. For the total energy, the calculation gives -41.2 eV per cell. The formation energy from the elements is 283 meV/atom.

---

10.
Below is a relaxed structure of Tb5ErPb5, with properties calculated at the GGA-PBE level.

Cell and atoms, written as POSCAR:
```
Tb5ErPb5
1.0
7.923 -3.137 0.000
7.923 3.137 0.000
-1.712 0.000 7.163
Tb Er Pb
5 1 5
Cartesian
0.000 0.000 0.000
5.043 0.000 1.212
4.186 0.000 4.807
9.947 0.000 2.356
9.090 0.000 5.951
-0.856 0.000 3.582
1.198 0.000 6.002
2.073 0.000 2.396
7.067 0.000 3.582
12.060 0.000 4.768
12.935 0.000 1.162
```

Calculated values
The density is 9.3 g/cm3. The volume comes out at 356 Å³/f.u. For the total energy, the calculation gives -49.3 eV per cell. The formation energy from the elements is -276 meV/atom.

---

11.
Below is a relaxed structure of Tb2Er5Pb4, with properties calculated at the GGA-PBE level.

Cell and atoms, written as POSCAR:
```
Tb2Er5Pb4
1.0
7.370 -2.980 0.000
7.370 2.980 0.000
-5.316 0.000 7.498
Tb Er Pb
2 5 4
Cartesian
1.759 0.000 0.570
7.664 0.000 6.927
-1.181 0.000 5.556
2.095 0.000 3.960
7.370 0.000 0.000
7.327 0.000 3.538
10.604 0.000 1.942
-0.823 0.000 2.407
4.690 0.000 1.564
4.733 0.000 5.933
10.246 0.000 5.090
```

Calculated values
The density is 10.0 g/cm3. The volume comes out at 329 Å³/f.u. For the total energy, the calculation gives -49.7 eV per cell. The formation energy from the elements is -250 meV/atom.

---

12.
Below is a relaxed structure of Tb3ErPb, with properties calculated at the GGA-PBE level.

Cell and atoms, written as POSCAR:
```
Tb3ErPb
1.0
8.959 0.000 0.000
0.000 8.564 0.000
-5.017 0.000 8.127
Tb Er Pb
12 4 4
Cartesian
0.504 1.666 0.328
-2.005 2.616 4.391
0.426 4.822 2.351
-2.083 8.023 6.415
0.155 5.022 5.733
2.663 7.824 1.670
1.280 0.740 6.457
3.788 3.542 2.394
6.025 0.541 1.712
3.517 3.741 5.776
5.947 5.948 3.736
3.439 6.898 7.799
-2.724 4.832 7.574
-0.216 8.014 3.511
4.158 0.550 4.616
6.667 3.732 0.553
1.333 2.134 3.674
-1.175 2.148 7.738
5.118 6.416 0.389
2.609 6.430 4.453
```

Calculated values
The density is 9.1 g/cm3. The volume comes out at 156 Å³/f.u. For the total energy, the calculation gives -91.7 eV per cell. The formation energy from the elements is -152 meV/atom.

---

Question: Number 5 is which compound?
Answer: TbEr2Pb3

---

Question: Which formula does entry 8 have?
Answer: Tb2ErPb9